DFT (PBE-GGA) results for a relaxed RbNaSr2As crystal.

Properties
**Energy**: -8.130 eV per cell
**Excess energy over the best structure of this formula in the dataset**: 0.817 eV per atom
**Energy of formation from the pure elements**: 0.43 eV per atom

Cell lengths 6.3011, 5.9266, 6.3011 Å; angles 90.00, 90.00, 90.00 degrees
Element x y z (fractional)
1 Sr 0.0000 0.0000 0.5000
2 Sr 0.5000 0.0000 0.0000
3 Rb 0.0000 0.5000 0.0000
4 As 0.5000 0.5000 0.5000
5 Na 0.0000 0.0000 0.0000

***

DFT (PBE-GGA) results for a relaxed PuHRu crystal.

Properties
**Energy**: -52.833 eV per cell
**Excess energy over the best structure of this formula in the dataset**: 0.177 eV per atom

Cell lengths 5.0181, 2.9992, 6.3815 Å; angles 103.59, 113.15, 90.00 degrees
Last column: magnetic moment on the atom in μB.
Element x y z (fractional)
1 Ru 0.6142 0.1142 0.2284  -0.47
2 Ru 0.3858 0.8858 0.7716  -0.47
3 Pu 0.1584 0.6584 0.3168  5.06
4 Pu 0.8416 0.3416 0.6832  5.06
5 H 0.3176 0.5000 0.0000  0.00
6 H 0.6824 0.5000 0.0000  0.00

***

DFT (PBE-GGA) results for a relaxed YUInO6 crystal.

Properties
**Energy**: -150.198 eV per cell
**E_form (uncorrected)**: -2.7621 eV per atom

Cell lengths 5.5638, 5.5638, 9.8314 Å; angles 90.00, 90.00, 120.00 degrees
Element x y z (fractional)
1 In 0.3333 0.6667 0.2500
2 In 0.6667 0.3333 0.7500
3 U 0.3333 0.6667 0.7500
4 U 0.6667 0.3333 0.2500
5 O 0.0143 0.3503 0.6340
6 O 0.6640 0.6497 0.1340
7 O 0.6497 0.6640 0.6340
8 O 0.9857 0.6497 0.3660
9 O 0.9857 0.3360 0.1340
10 O 0.6640 0.0143 0.3660
11 O 0.0143 0.6640 0.8660
12 O 0.3503 0.0143 0.1340
13 O 0.3503 0.3360 0.3660
14 O 0.3360 0.9857 0.6340
15 O 0.6497 0.9857 0.8660
16 O 0.3360 0.3503 0.8660
17 Y 0.0000 0.0000 0.5000
18 Y 0.0000 0.0000 0.0000

***

DFT (PBE-GGA) results for a relaxed CaAc2PrY crystal.

Properties
**Energy**: -39.071 eV per cell
**Energy of formation from the pure elements**: 0.39 eV per atom

Cell lengths 6.2855, 9.2489, 7.4098 Å; angles 97.19, 90.00, 90.00 degrees
Element x y z (fractional)
1 Ac 0.5910 0.3292 0.5833
2 Ac 0.4090 0.3292 0.0833
3 Ac 0.5910 0.6708 0.9167
4 Ac 0.4090 0.6708 0.4167
5 Pr 0.0000 0.0000 0.5000
6 Pr 0.0000 0.0000 0.0000
7 Y 0.0863 0.5000 0.7500
8 Y 0.9137 0.5000 0.2500
9 Ca 0.4871 0.0000 0.7500
10 Ca 0.5129 0.0000 0.2500

***

DFT (PBE-GGA) results for a relaxed HgPtCl2 crystal.

Properties
**Energy**: -10.920 eV per cell
**Excess energy over the best structure of this formula in the dataset**: 0.002 eV per atom
**E_form (uncorrected)**: -0.2209 eV per atom

Cell lengths 4.1740, 4.1740, 10.0585 Å; angles 90.00, 90.00, 131.18 degrees
Element x y z (fractional)
1 Pt 0.5000 0.5000 0.7500
2 Hg 0.5000 0.5000 0.2500
3 Cl 0.0000 0.0000 0.9050
4 Cl 0.0000 0.0000 0.5950